# Tm2SeS, optimized geometry, DFT GGA-PBE
data_Tm2SeS
_chemical_formula_sum 'Tm6 Se3 S3'
_cell_length_a 3.9209
_cell_length_b 3.9209
_cell_length_c 19.4062
_cell_angle_alpha 90.00
_cell_angle_beta 90.00
_cell_angle_gamma 120.00
_symmetry_space_group_name_H-M 'R -3 m'
_symmetry_Int_Tables_number 166
_symmetry_space_group_name_Hall '-R 3 2"'
loop_
_atom_site_label
_atom_site_type_symbol
_atom_site_fract_x
_atom_site_fract_y
_atom_site_fract_z
Tm1 Tm 0.0000 0.0000 0.2405
Se1 Se 0.0000 0.0000 0.0000
S1 S 0.0000 0.0000 0.5000
# - ΔE_f (raw) (kJ/mol of atoms) = -174.89